[1]
PBE-GGA La2SmTm9, optimized geometry; SG = P4/mmm; energy relative to the elements = 0.037 eV per atom
1.0
5.014 0.000 0.000
0.000 5.014 0.000
0.000 0.000 15.064
La Sm Tm
2 1 9
direct
0.000 0.000 0.166
0.000 0.000 0.834
0.000 0.000 0.500
0.000 0.500 0.000
0.000 0.500 0.336
0.000 0.500 0.664
0.500 0.000 0.000
0.500 0.000 0.336
0.500 0.000 0.664
0.500 0.500 0.168
0.500 0.500 0.500
0.500 0.500 0.832

***

[2]
PBE-GGA LaSm4Tm, optimized geometry; SG = C2/m; energy relative to the elements = 0.186 eV per atom
1.0
5.927 -1.730 0.000
5.927 1.730 0.000
-5.698 0.000 10.093
La Sm Tm
1 4 1
direct
0.000 0.000 0.000
0.188 0.188 0.841
0.193 0.193 0.348
0.807 0.807 0.652
0.812 0.812 0.159
0.000 0.000 0.500

***

[3]
PBE-GGA LaSm14Tm, optimized geometry; SG = P4/mmm; energy relative to the elements = 0.015 eV per atom
1.0
7.262 0.000 0.000
0.000 7.262 0.000
0.000 0.000 10.244
La Sm Tm
1 14 1
direct
0.000 0.000 0.000
0.000 0.000 0.500
0.000 0.500 0.000
0.000 0.500 0.500
0.252 0.252 0.250
0.252 0.252 0.750
0.252 0.748 0.250
0.252 0.748 0.750
0.500 0.000 0.000
0.500 0.000 0.500
0.500 0.500 0.500
0.748 0.252 0.250
0.748 0.252 0.750
0.748 0.748 0.250
0.748 0.748 0.750
0.500 0.500 0.000

***

Question: The highest energy relative to the elements belongs to which entry?
Answer: LaSm4Tm

***

Question: Which value of energy relative to the elements does entry 1 give?
Answer: 0.037 eV per atom

***

Question: Which value of energy relative to the elements does entry 1 give?
Answer: 0.037 eV per atom

***

Question: What is the energy relative to the elements in the third record?
Answer: 0.015 eV per atom